Entry 1:
# Mg2HgIr PBE optimized geometry
data_Mg2HgIr
_chemical_formula_sum 'Mg4 Hg2 Ir2'
_space_group_name_H-M_alt 'I -4 m 2'
_space_group_IT_number 119
_space_group_name_Hall 'I -4 -2'
_cell_length_a 3.9926
_cell_length_b 3.9926
_cell_length_c 8.7791
_cell_angle_alpha 90.00
_cell_angle_beta 90.00
_cell_angle_gamma 90.00
loop_
_atom_site_label
_atom_site_type_symbol
_atom_site_fract_x
_atom_site_fract_y
_atom_site_fract_z
Mg1 Mg 0.0000 0.0000 0.0000
Mg2 Mg 0.0000 0.5000 0.2500
Hg1 Hg 0.0000 0.5000 0.7500
Ir1 Ir 0.0000 0.0000 0.5000
# * formation energy from the elements: -0.8 eV per formula unit
# * distance to the lowest polymorph of the same formula: 42.7 kJ/mol of formula units

Entry 2:
# LaScPt3 PBE optimized geometry
data_LaScPt3
_chemical_formula_sum 'La1 Sc1 Pt3'
_space_group_name_H-M_alt 'P m -3 m'
_space_group_IT_number 221
_space_group_name_Hall '-P 4 2 3'
_cell_length_a 5.2004
_cell_length_b 5.2004
_cell_length_c 5.2004
_cell_angle_alpha 90.00
_cell_angle_beta 90.00
_cell_angle_gamma 90.00
loop_
_atom_site_label
_atom_site_type_symbol
_atom_site_fract_x
_atom_site_fract_y
_atom_site_fract_z
La1 La 0.0000 0.0000 0.0000
Sc1 Sc 0.5000 0.5000 0.5000
Pt1 Pt 0.0000 0.0000 0.5000
# * formation energy from the elements: 2.3 eV per formula unit
# * distance to the lowest polymorph of the same formula: 471.8 kJ/mol of formula units

Entry 3:
# LaZn3Br9 PBE optimized geometry
data_LaZn3Br9
_chemical_formula_sum 'La4 Zn12 Br36'
_space_group_name_H-M_alt 'C 1 c 1'
_space_group_IT_number 9
_cell_length_a 19.1409
_cell_length_b 9.4949
_cell_length_c 13.7316
_cell_angle_alpha 90.00
_cell_angle_beta 129.77
_cell_angle_gamma 90.00
loop_
_space_group_symop_operation_xyz
'x,y,z'
'x,-y,z+1/2'
'x+1/2,y+1/2,z'
'x+1/2,-y+1/2,z+1/2'
loop_
_atom_site_label
_atom_site_type_symbol
_atom_site_fract_x
_atom_site_fract_y
_atom_site_fract_z
La1 La 0.0000 0.2282 0.0000
Zn1 Zn 0.1485 0.1187 0.8340
Zn2 Zn 0.2297 0.4155 0.7072
Zn3 Zn 0.3551 0.0782 0.6656
Br1 Br 0.0203 0.0785 0.8284
Br2 Br 0.1174 0.3450 0.7284
Br3 Br 0.1557 0.0720 0.2207
Br4 Br 0.1602 0.3813 0.0626
Br5 Br 0.2325 0.2489 0.5730
Br6 Br 0.3038 0.1356 0.0369
Br7 Br 0.3699 0.4884 0.9137
Br8 Br 0.4081 0.0008 0.3739
Br9 Br 0.4821 0.1863 0.6914
# * ΔE_f (raw): -15.3 eV/f.u.

Entry 4:
# PmMgAu6 PBE optimized geometry
data_PmMgAu6
_chemical_formula_sum 'Pm1 Mg1 Au6'
_space_group_name_H-M_alt 'P m m 2'
_space_group_IT_number 25
_cell_length_a 4.9564
_cell_length_b 6.0799
_cell_length_c 5.2063
_cell_angle_alpha 90.00
_cell_angle_beta 90.00
_cell_angle_gamma 90.00
loop_
_space_group_symop_operation_xyz
'x,y,z'
'-x,-y,z'
'-x,y,z'
'x,-y,z'
loop_
_atom_site_label
_atom_site_type_symbol
_atom_site_fract_x
_atom_site_fract_y
_atom_site_fract_z
Pm1 Pm 0.0000 0.0000 0.0000
Mg1 Mg 0.5000 0.5000 0.3207
Au1 Au 0.0000 0.2659 0.4943
Au2 Au 0.0000 0.5000 0.0022
Au3 Au 0.5000 0.0000 0.3556
Au4 Au 0.5000 0.2631 0.8295
# * formation energy from the elements: -4.1 eV per formula unit
# * distance to the lowest polymorph of the same formula: 0.0 kJ/mol of formula units

Entry 5:
# YBP2S PBE optimized geometry
data_YBP2S
_chemical_formula_sum 'Y1 B1 P2 S1'
_space_group_name_H-M_alt 'P 4/m m m'
_space_group_IT_number 123
_space_group_name_Hall '-P 4 2'
_cell_length_a 5.3015
_cell_length_b 5.3015
_cell_length_c 5.1899
_cell_angle_alpha 90.00
_cell_angle_beta 90.00
_cell_angle_gamma 90.00
loop_
_atom_site_label
_atom_site_type_symbol
_atom_site_fract_x
_atom_site_fract_y
_atom_site_fract_z
Y1 Y 0.0000 0.0000 0.0000
B1 B 0.5000 0.5000 0.5000
P1 P 0.0000 0.5000 0.0000
S1 S 0.0000 0.0000 0.5000
# * ΔE_f (raw): 6.5 eV/f.u.
# * distance to the lowest polymorph of the same formula: 681.0 kJ/mol of formula units

Entry 6:
# MgZn2P2O8 PBE optimized geometry
data_MgZn2P2O8
_chemical_formula_sum 'Mg2 Zn4 P4 O16'
_space_group_name_H-M_alt 'P 1 21/c 1'
_space_group_IT_number 14
_cell_length_a 5.0982
_cell_length_b 8.4354
_cell_length_c 8.8682
_cell_angle_alpha 90.00
_cell_angle_beta 119.74
_cell_angle_gamma 90.00
loop_
_space_group_symop_operation_xyz
'x,y,z'
'-x,-y,-z'
'-x,y+1/2,-z+1/2'
'x,-y+1/2,z+1/2'
loop_
_atom_site_label
_atom_site_type_symbol
_atom_site_fract_x
_atom_site_fract_y
_atom_site_fract_z
Mg1 Mg 0.0000 0.0000 0.0000
Zn1 Zn 0.0315 0.1401 0.6178
P1 P 0.3358 0.6915 0.2983
O1 O 0.1833 0.6414 0.7399
O2 O 0.1982 0.5775 0.1384
O3 O 0.2615 0.6327 0.4371
O4 O 0.3175 0.1955 0.1273
# * ΔE_f (raw): -28.2 eV/f.u.

Entry 7:
# Zn2CdTe PBE optimized geometry
data_Zn2CdTe
_chemical_formula_sum 'Zn4 Cd2 Te2'
_space_group_name_H-M_alt 'C 1 2/m 1'
_space_group_IT_number 12
_cell_length_a 7.1289
_cell_length_b 4.0768
_cell_length_c 6.8585
_cell_angle_alpha 90.00
_cell_angle_beta 110.02
_cell_angle_gamma 90.00
loop_
_space_group_symop_operation_xyz
'x,y,z'
'-x,-y,-z'
'-x,y,-z'
'x,-y,z'
'x+1/2,y+1/2,z'
'-x+1/2,-y+1/2,-z'
'-x+1/2,y+1/2,-z'
'x+1/2,-y+1/2,z'
loop_
_atom_site_label
_atom_site_type_symbol
_atom_site_fract_x
_atom_site_fract_y
_atom_site_fract_z
Zn1 Zn 0.2493 0.0000 0.2475
Cd1 Cd 0.0000 0.0000 0.5000
Te1 Te 0.0000 0.5000 0.0000
# * ΔE_f (raw): 0.1 eV/f.u.
# * distance to the lowest polymorph of the same formula: 2.1 kJ/mol of formula units

Entry 8:
# Tb3Nd2Sm6Mg PBE optimized geometry
data_Tb3Nd2Sm6Mg
_chemical_formula_sum 'Tb6 Nd4 Sm12 Mg2'
_space_group_name_H-M_alt 'C 1 2/m 1'
_space_group_IT_number 12
_cell_length_a 6.2199
_cell_length_b 10.7796
_cell_length_c 11.8826
_cell_angle_alpha 90.00
_cell_angle_beta 100.10
_cell_angle_gamma 90.00
loop_
_space_group_symop_operation_xyz
'x,y,z'
'-x,-y,-z'
'-x,y,-z'
'x,-y,z'
'x+1/2,y+1/2,z'
'-x+1/2,-y+1/2,-z'
'-x+1/2,y+1/2,-z'
'x+1/2,-y+1/2,z'
loop_
_atom_site_label
_atom_site_type_symbol
_atom_site_fract_x
_atom_site_fract_y
_atom_site_fract_z
Tb1 Tb 0.0000 0.0000 0.0000
Tb2 Tb 0.0000 0.3340 0.0000
Nd1 Nd 0.0000 0.1670 0.5000
Sm1 Sm 0.2479 0.5000 0.2477
Sm2 Sm 0.2486 0.3345 0.7512
Mg1 Mg 0.0000 0.5000 0.5000
# * formation energy from the elements: 0.2 eV per formula unit

Q: What is the formula in the first record?
A: Mg2HgIr